Tb5NdSm2Th: relaxed, PBE.

a b c (Å): 10.491 10.491 10.496
angles (deg): 90.00 90.00 148.63
Element x y z (fractional)
Tb  0.016  0.984  0.500
Tb  0.276  0.724  0.794
Tb  0.297  0.703  0.185
Tb  0.388  0.612  0.502
Tb  0.478  0.522  0.214
Tb  0.522  0.478  0.714
Tb  0.612  0.388  0.002
Tb  0.703  0.297  0.685
Tb  0.724  0.276  0.294
Tb  0.984  0.016  0.000
Nd  0.412  0.588  0.925
Nd  0.588  0.412  0.425
Sm  0.114  0.886  0.797
Sm  0.115  0.885  0.207
Sm  0.885  0.115  0.707
Sm  0.886  0.114  0.297
Th  0.200  0.800  0.491
Th  0.800  0.200  0.991

Calculated values
E_tot: -4.81 eV per atom
SG: Cmc2_1
Formation enthalpy at 0 K: 1.45 eV per formula unit